(1)
11
Lattice="3.6043 0.0000 0.0000 0.0000 8.3223 0.2139 0.0000 -0.5359 10.3324" Properties=species:S:1:pos:R:3 comment="GGA-PBE Dy5Er4Tc2, optimized geometry" e_form_ev_per_atom=0.0389 crystal_system=monoclinic pbc="T T T"
Dy 0.0000 4.5021 3.6367
Dy 0.0000 1.2518 1.6501
Dy 0.0000 4.1611 0.1069
Dy 0.0000 6.5345 8.8961
Dy 0.0000 3.2842 6.9096
Er 1.8021 6.5094 5.8634
Er 1.8021 1.0474 8.8707
Er 1.8021 1.2769 4.6829
Er 1.8021 6.7390 1.6755
Tc 0.0000 0.3141 6.7957
Tc 0.0000 7.4722 3.7506

=====

(2)
12
Lattice="0.0460 4.6733 2.5782 -1.1459 0.1852 5.2098 8.0972 0.4869 4.4979" Properties=species:S:1:pos:R:3 comment="GGA-PBE Dy2ErTc9, optimized geometry" e_form_ev_per_atom=-0.0541 crystal_system=trigonal pbc="T T T"
Dy 2.5490 4.3702 8.6079
Dy 4.4482 0.9752 3.6780
Er 0.0000 0.0000 0.0000
Tc -0.6259 3.2246 5.2161
Tc 7.6231 2.1208 7.0698
Tc 3.4986 2.6727 6.1429
Tc 1.5674 2.1236 4.3317
Tc 1.5910 4.5267 5.6574
Tc 0.9781 2.2188 7.0106
Tc 5.4298 3.2218 7.9542
Tc 6.0191 3.1266 5.2753
Tc 5.4062 0.8188 6.6284

=====

(3)
3
Lattice="3.4588 0.0000 0.0000 0.0000 3.4588 0.0000 -1.7294 -1.7294 6.1559" Properties=species:S:1:pos:R:3 comment="GGA-PBE DyErTc, optimized geometry" e_form_ev_per_atom=-0.0643 crystal_system=tetragonal pbc="T T T"
Dy 0.0000 0.0000 0.4351
Tc 1.7294 1.7294 2.0629
Er 0.0000 0.0000 3.6579

=====

no.,E (eV per atom)
1,-5.5969
2,-8.9758
3,-6.5747